# 1
# La2ZnRh PBE-GGA optimized geometry
# ΔE_f (eV per atom): -0.247
# Symmetry: I-42d, No. 122
data_La2ZnRh
_cell_length_a 6.583
_cell_length_b 6.583
_cell_length_c 6.583
_cell_angle_alpha 105.54
_cell_angle_beta 105.54
_cell_angle_gamma 117.67
_symmetry_space_group_name_H-M 'P 1'
_symmetry_Int_Tables_number 1
loop_
_symmetry_equiv_pos_as_xyz
'x,y,z'
loop_
_atom_site_label
_atom_site_fract_x
_atom_site_fract_y
_atom_site_fract_z
La1 0.085 0.125 0.460
La2 0.375 0.915 0.040
La3 0.665 0.625 0.540
La4 0.875 0.335 0.960
Zn1 0.250 0.750 0.500
Zn2 0.500 0.500 0.000
Rh1 0.000 0.000 0.000
Rh2 0.750 0.250 0.500

=====

# 2
# CdCo PBE-GGA optimized geometry
# ΔE_f (eV per atom): 0.428
# Symmetry: R-3m, No. 166
data_CdCo
_cell_length_a 4.780
_cell_length_b 4.780
_cell_length_c 4.780
_cell_angle_alpha 34.64
_cell_angle_beta 34.64
_cell_angle_gamma 34.64
_symmetry_space_group_name_H-M 'P 1'
_symmetry_Int_Tables_number 1
loop_
_symmetry_equiv_pos_as_xyz
'x,y,z'
loop_
_atom_site_label
_atom_site_fract_x
_atom_site_fract_y
_atom_site_fract_z
Cd1 0.000 0.000 0.000
Co1 0.500 0.500 0.500

=====

# 3
# LaTcAsBr2 PBE-GGA optimized geometry
# Symmetry: P4/mmm, No. 123
# ΔE to the lowest computed polymorph (eV per atom): 0.000
data_LaTcAsBr2
_cell_length_a 5.092
_cell_length_b 5.092
_cell_length_c 4.823
_cell_angle_alpha 90.00
_cell_angle_beta 90.00
_cell_angle_gamma 90.00
_symmetry_space_group_name_H-M 'P 1'
_symmetry_Int_Tables_number 1
loop_
_symmetry_equiv_pos_as_xyz
'x,y,z'
loop_
_atom_site_label
_atom_site_fract_x
_atom_site_fract_y
_atom_site_fract_z
La1 0.000 0.000 0.000
Tc1 0.500 0.500 0.500
As1 0.500 0.500 0.000
Br1 0.000 0.500 0.500
Br2 0.500 0.000 0.500

=====

# 4
# BeNbSbPIr PBE-GGA optimized geometry
# Symmetry: Cm, No. 8
# ΔE to the lowest computed polymorph (eV per atom): 0.102
data_BeNbSbPIr
_cell_length_a 4.534
_cell_length_b 4.534
_cell_length_c 5.742
_cell_angle_alpha 105.03
_cell_angle_beta 105.03
_cell_angle_gamma 48.13
_symmetry_space_group_name_H-M 'P 1'
_symmetry_Int_Tables_number 1
loop_
_symmetry_equiv_pos_as_xyz
'x,y,z'
loop_
_atom_site_label
_atom_site_fract_x
_atom_site_fract_y
_atom_site_fract_z
Be1 0.000 0.000 0.000
Nb1 0.374 0.374 0.231
Sb1 0.111 0.111 0.566
P1 0.652 0.652 0.119
Ir1 0.442 0.442 0.743

=====

# 5
# EuScAl4 PBE-GGA optimized geometry
# ΔE_f (eV per atom): -0.395
# Symmetry: F-43m, No. 216
data_EuScAl4
_cell_length_a 5.535
_cell_length_b 5.535
_cell_length_c 5.535
_cell_angle_alpha 60.00
_cell_angle_beta 60.00
_cell_angle_gamma 60.00
_symmetry_space_group_name_H-M 'P 1'
_symmetry_Int_Tables_number 1
loop_
_symmetry_equiv_pos_as_xyz
'x,y,z'
loop_
_atom_site_label
_atom_site_fract_x
_atom_site_fract_y
_atom_site_fract_z
Eu1 0.000 0.000 0.000
Sc1 0.250 0.250 0.250
Al1 0.126 0.625 0.625
Al2 0.625 0.126 0.625
Al3 0.625 0.625 0.126
Al4 0.625 0.625 0.625

=====

# 6
# NaNb2As2 PBE-GGA optimized geometry
# ΔE_f (eV per atom): -0.036
# Symmetry: I4/mmm, No. 139
# ΔE to the lowest computed polymorph (eV per atom): 0.371
data_NaNb2As2
_cell_length_a 5.551
_cell_length_b 5.551
_cell_length_c 5.551
_cell_angle_alpha 126.59
_cell_angle_beta 126.59
_cell_angle_gamma 78.92
_symmetry_space_group_name_H-M 'P 1'
_symmetry_Int_Tables_number 1
loop_
_symmetry_equiv_pos_as_xyz
'x,y,z'
loop_
_atom_site_label
_atom_site_fract_x
_atom_site_fract_y
_atom_site_fract_z
Na1 0.000 0.000 0.000
Nb1 0.354 0.354 0.000
Nb2 0.646 0.646 0.000
As1 0.250 0.750 0.500
As2 0.750 0.250 0.500

=====

# 7
# Rb2PO PBE-GGA optimized geometry
# Symmetry: I-42d, No. 122
# ΔE to the lowest computed polymorph (eV per atom): 0.000
data_Rb2PO
_cell_length_a 8.587
_cell_length_b 8.587
_cell_length_c 8.587
_cell_angle_alpha 92.81
_cell_angle_beta 92.81
_cell_angle_gamma 154.41
_symmetry_space_group_name_H-M 'P 1'
_symmetry_Int_Tables_number 1
loop_
_symmetry_equiv_pos_as_xyz
'x,y,z'
loop_
_atom_site_label
_atom_site_fract_x
_atom_site_fract_y
_atom_site_fract_z
Rb1 0.375 0.101 0.226
Rb2 0.851 0.625 0.726
Rb3 0.875 0.149 0.774
Rb4 0.899 0.125 0.274
P1 0.250 0.750 0.500
P2 0.500 0.500 0.000
O1 0.000 0.000 0.000
O2 0.750 0.250 0.500

=====

# 8
# CePmAlRu PBE-GGA optimized geometry
# ΔE_f (eV per atom): -0.199
# Symmetry: F-43m, No. 216
data_CePmAlRu
_cell_length_a 5.059
_cell_length_b 5.059
_cell_length_c 5.059
_cell_angle_alpha 60.00
_cell_angle_beta 60.00
_cell_angle_gamma 60.00
_symmetry_space_group_name_H-M 'P 1'
_symmetry_Int_Tables_number 1
loop_
_symmetry_equiv_pos_as_xyz
'x,y,z'
loop_
_atom_site_label
_atom_site_fract_x
_atom_site_fract_y
_atom_site_fract_z
Ce1 0.000 0.000 0.000
Pm1 0.500 0.500 0.500
Al1 0.250 0.250 0.250
Ru1 0.750 0.750 0.750

=====

# 9
# PmVS2 PBE-GGA optimized geometry
# Symmetry: R-3m, No. 166
data_PmVS2
_cell_length_a 8.314
_cell_length_b 8.314
_cell_length_c 8.314
_cell_angle_alpha 25.44
_cell_angle_beta 25.44
_cell_angle_gamma 25.44
_symmetry_space_group_name_H-M 'P 1'
_symmetry_Int_Tables_number 1
loop_
_symmetry_equiv_pos_as_xyz
'x,y,z'
loop_
_atom_site_label
_atom_site_fract_x
_atom_site_fract_y
_atom_site_fract_z
Pm1 0.000 0.000 0.000
V1 0.500 0.500 0.500
S1 0.114 0.114 0.114
S2 0.886 0.886 0.886

=====

# 10
# HfCo4Re PBE-GGA optimized geometry
# ΔE_f (eV per atom): -0.123
# Symmetry: F-43m, No. 216
data_HfCo4Re
_cell_length_a 4.782
_cell_length_b 4.782
_cell_length_c 4.782
_cell_angle_alpha 60.00
_cell_angle_beta 60.00
_cell_angle_gamma 60.00
_symmetry_space_group_name_H-M 'P 1'
_symmetry_Int_Tables_number 1
loop_
_symmetry_equiv_pos_as_xyz
'x,y,z'
loop_
_atom_site_label
_atom_site_fract_x
_atom_site_fract_y
_atom_site_fract_z
Hf1 0.000 0.000 0.000
Co1 0.375 0.375 0.375
Co2 0.375 0.375 0.874
Co3 0.375 0.874 0.375
Co4 0.874 0.375 0.375
Re1 0.750 0.750 0.750

=====

# 11
# Th3P3N PBE-GGA optimized geometry
# Symmetry: Pnma, No. 62
data_Th3P3N
_cell_length_a 11.762
_cell_length_b 4.162
_cell_length_c 12.977
_cell_angle_alpha 90.00
_cell_angle_beta 90.00
_cell_angle_gamma 90.00
_symmetry_space_group_name_H-M 'P 1'
_symmetry_Int_Tables_number 1
loop_
_symmetry_equiv_pos_as_xyz
'x,y,z'
loop_
_atom_site_label
_atom_site_fract_x
_atom_site_fract_y
_atom_site_fract_z
Th1 0.030 0.250 0.154
Th2 0.105 0.250 0.622
Th3 0.240 0.250 0.878
Th4 0.260 0.750 0.378
Th5 0.395 0.750 0.122
Th6 0.470 0.750 0.654
Th7 0.530 0.250 0.346
Th8 0.605 0.250 0.878
Th9 0.740 0.250 0.622
Th10 0.760 0.750 0.122
Th11 0.895 0.750 0.378
Th12 0.970 0.750 0.846
P1 0.068 0.250 0.391
P2 0.148 0.750 0.012
P3 0.233 0.750 0.718
P4 0.267 0.250 0.218
P5 0.352 0.250 0.512
P6 0.432 0.750 0.891
P7 0.568 0.250 0.109
P8 0.648 0.750 0.488
P9 0.733 0.750 0.782
P10 0.767 0.250 0.282
P11 0.852 0.250 0.988
P12 0.932 0.750 0.609
N1 0.056 0.250 0.801
N2 0.444 0.750 0.301
N3 0.556 0.250 0.699
N4 0.944 0.750 0.199

=====

# 12
# Zr2CdPb PBE-GGA optimized geometry
# ΔE_f (eV per atom): -0.095
# Symmetry: Cmmm, No. 65
data_Zr2CdPb
_cell_length_a 3.194
_cell_length_b 3.194
_cell_length_c 8.960
_cell_angle_alpha 90.00
_cell_angle_beta 90.00
_cell_angle_gamma 90.70
_symmetry_space_group_name_H-M 'P 1'
_symmetry_Int_Tables_number 1
loop_
_symmetry_equiv_pos_as_xyz
'x,y,z'
loop_
_atom_site_label
_atom_site_fract_x
_atom_site_fract_y
_atom_site_fract_z
Zr1 0.000 0.000 0.241
Zr2 0.000 0.000 0.759
Cd1 0.500 0.500 0.000
Pb1 0.500 0.500 0.500

=====

# 13
# Ac2TbSmS4 PBE-GGA optimized geometry
# Symmetry: P2/m, No. 10
data_Ac2TbSmS4
_cell_length_a 7.071
_cell_length_b 4.056
_cell_length_c 7.359
_cell_angle_alpha 90.00
_cell_angle_beta 108.51
_cell_angle_gamma 90.00
_symmetry_space_group_name_H-M 'P 1'
_symmetry_Int_Tables_number 1
loop_
_symmetry_equiv_pos_as_xyz
'x,y,z'
loop_
_atom_site_label
_atom_site_fract_x
_atom_site_fract_y
_atom_site_fract_z
Ac1 0.000 0.000 0.000
Ac2 0.500 0.500 0.000
Tb1 0.000 0.500 0.500
Sm1 0.500 0.000 0.500
S1 0.237 0.000 0.723
S2 0.255 0.500 0.275
S3 0.745 0.500 0.725
S4 0.763 0.000 0.277

=====

# 14
# ErThScAg PBE-GGA optimized geometry
# ΔE_f (eV per atom): -0.137
# Symmetry: P4mm, No. 99
data_ErThScAg
_cell_length_a 3.560
_cell_length_b 3.560
_cell_length_c 8.066
_cell_angle_alpha 90.00
_cell_angle_beta 90.00
_cell_angle_gamma 90.00
_symmetry_space_group_name_H-M 'P 1'
_symmetry_Int_Tables_number 1
loop_
_symmetry_equiv_pos_as_xyz
'x,y,z'
loop_
_atom_site_label
_atom_site_fract_x
_atom_site_fract_y
_atom_site_fract_z
Er1 0.000 0.000 0.000
Th1 0.500 0.500 0.297
Sc1 0.000 0.000 0.571
Ag1 0.500 0.500 0.771

=====

# 15
# HRh3Se PBE-GGA optimized geometry
# Symmetry: Pm-3m, No. 221
# ΔE to the lowest computed polymorph (eV per atom): 0.000
data_HRh3Se
_cell_length_a 3.968
_cell_length_b 3.968
_cell_length_c 3.968
_cell_angle_alpha 90.00
_cell_angle_beta 90.00
_cell_angle_gamma 90.00
_symmetry_space_group_name_H-M 'P 1'
_symmetry_Int_Tables_number 1
loop_
_symmetry_equiv_pos_as_xyz
'x,y,z'
loop_
_atom_site_label
_atom_site_fract_x
_atom_site_fract_y
_atom_site_fract_z
H1 0.000 0.000 0.000
Rh1 0.000 0.000 0.500
Rh2 0.000 0.500 0.000
Rh3 0.500 0.000 0.000
Se1 0.500 0.500 0.500

=====

# 16
# MgTl4As PBE-GGA optimized geometry
# ΔE_f (eV per atom): 0.309
# Symmetry: F-43m, No. 216
data_MgTl4As
_cell_length_a 6.351
_cell_length_b 6.351
_cell_length_c 6.351
_cell_angle_alpha 60.00
_cell_angle_beta 60.00
_cell_angle_gamma 60.00
_symmetry_space_group_name_H-M 'P 1'
_symmetry_Int_Tables_number 1
loop_
_symmetry_equiv_pos_as_xyz
'x,y,z'
loop_
_atom_site_label
_atom_site_fract_x
_atom_site_fract_y
_atom_site_fract_z
Mg1 0.000 0.000 0.000
Tl1 0.126 0.625 0.625
Tl2 0.625 0.126 0.625
Tl3 0.625 0.625 0.126
Tl4 0.625 0.625 0.625
As1 0.250 0.250 0.250

=====

# 17
# BaNaOs3 PBE-GGA optimized geometry
# ΔE_f (eV per atom): 3.354
# Symmetry: Pm-3m, No. 221
# ΔE to the lowest computed polymorph (eV per atom): 0.678
data_BaNaOs3
_cell_length_a 5.194
_cell_length_b 5.194
_cell_length_c 5.194
_cell_angle_alpha 90.00
_cell_angle_beta 90.00
_cell_angle_gamma 90.00
_symmetry_space_group_name_H-M 'P 1'
_symmetry_Int_Tables_number 1
loop_
_symmetry_equiv_pos_as_xyz
'x,y,z'
loop_
_atom_site_label
_atom_site_fract_x
_atom_site_fract_y
_atom_site_fract_z
Ba1 0.000 0.000 0.000
Na1 0.500 0.500 0.500
Os1 0.000 0.000 0.500
Os2 0.000 0.500 0.000
Os3 0.500 0.000 0.000

=====

# 18
# CeSmTmPa PBE-GGA optimized geometry
# ΔE_f (eV per atom): 0.378
# Symmetry: F-43m, No. 216
data_CeSmTmPa
_cell_length_a 5.533
_cell_length_b 5.533
_cell_length_c 5.533
_cell_angle_alpha 60.00
_cell_angle_beta 60.00
_cell_angle_gamma 60.00
_symmetry_space_group_name_H-M 'P 1'
_symmetry_Int_Tables_number 1
loop_
_symmetry_equiv_pos_as_xyz
'x,y,z'
loop_
_atom_site_label
_atom_site_fract_x
_atom_site_fract_y
_atom_site_fract_z
Ce1 0.000 0.000 0.000
Sm1 0.500 0.500 0.500
Tm1 0.250 0.250 0.250
Pa1 0.750 0.750 0.750

=====

# 19
# KCu5F12 PBE-GGA optimized geometry
# Symmetry: C2/m, No. 12
data_KCu5F12
_cell_length_a 5.589
_cell_length_b 5.589
_cell_length_c 8.847
_cell_angle_alpha 95.76
_cell_angle_beta 95.76
_cell_angle_gamma 119.54
_symmetry_space_group_name_H-M 'P 1'
_symmetry_Int_Tables_number 1
loop_
_symmetry_equiv_pos_as_xyz
'x,y,z'
loop_
_atom_site_label
_atom_site_fract_x
_atom_site_fract_y
_atom_site_fract_z
K1 0.000 0.000 0.000
Cu1 0.164 0.836 0.500
Cu2 0.333 0.667 0.000
Cu3 0.500 0.500 0.500
Cu4 0.667 0.333 0.000
Cu5 0.836 0.164 0.500
F1 0.041 0.447 0.126
F2 0.114 0.114 0.386
F3 0.197 0.521 0.595
F4 0.365 0.365 0.875
F5 0.447 0.041 0.126
F6 0.479 0.803 0.405
F7 0.521 0.197 0.595
F8 0.553 0.959 0.874
F9 0.635 0.635 0.125
F10 0.803 0.479 0.405
F11 0.886 0.886 0.614
F12 0.959 0.553 0.874

=====

# 20
# MgCd2In2Hg2 PBE-GGA optimized geometry
# ΔE_f (eV per atom): 0.042
# Symmetry: C2/m, No. 12
data_MgCd2In2Hg2
_cell_length_a 4.823
_cell_length_b 4.823
_cell_length_c 9.194
_cell_angle_alpha 91.94
_cell_angle_beta 91.94
_cell_angle_gamma 64.33
_symmetry_space_group_name_H-M 'P 1'
_symmetry_Int_Tables_number 1
loop_
_symmetry_equiv_pos_as_xyz
'x,y,z'
loop_
_atom_site_label
_atom_site_fract_x
_atom_site_fract_y
_atom_site_fract_z
Mg1 0.000 0.000 0.000
Cd1 0.340 0.340 0.889
Cd2 0.660 0.660 0.111
In1 0.319 0.319 0.239
In2 0.681 0.681 0.761
Hg1 0.327 0.327 0.569
Hg2 0.673 0.673 0.431

=====

For each record above, in turn, the calculated DOS(E_F) values are 3.7 2.6 4.4 1.7 7.4 5.1 2.0 4.8 6.4 7.9 0.6 2.8 4.3 4.6 4.5 3.7 4.6 12.3 11.8 2.0 states/eV/f.u..
For each record above, in turn, the calculated VASP energy values are -4.867 -3.582 -4.976 -6.730 -5.658 -6.187 -3.620 -6.125 -6.333 -8.594 -8.163 -5.525 -6.258 -5.428 -5.642 -2.309 -4.033 -5.777 -3.983 -1.316 eV per atom.